Compound: BaAl3In
Source: Alexandria
Functional: PBEsol
Structure: relaxed

a = 5.837 Å, b = 5.837 Å, c = 5.837 Å
α = 90.00°, β = 90.00°, γ = 90.00°
Element x y z (fractional)
Al 0.000 0.000 0.500
Al 0.000 0.500 0.000
Al 0.500 0.000 0.000
Ba 0.000 0.000 0.000
In 0.500 0.500 0.500

Summary:
ρ: 2781 kg/m3
N(E_F): 1.6369 states/eV per atom
VASP energy: -2.07 eV per atom